1.
{
  "formula": "BeOsSCl2",
  "functional": "GGA-PBE",
  "state": "relaxed",
  "spacegroup": "P4/mmm",
  "de_polymorph_mev_per_atom": 24,
  "e_form_raw_ev_per_fu": 3.521,
  "lattice_angstrom": [[4.047, 0.000, 0.000], [0.000, 4.047, 0.000], [0.000, 0.000, 5.825]],
  "species": ["Os", "S", "Cl", "Be", "Cl"],
  "frac_coords": [[0.500, 0.500, 0.500], [0.000, 0.000, 0.500], [0.000, 0.500, 0.000], [0.000, 0.000, 0.000], [0.500, 0.000, 0.000]]
}

2.
{
  "formula": "BeOsSCl2",
  "functional": "GGA-PBE",
  "state": "relaxed",
  "spacegroup": "P4/mmm",
  "de_polymorph_mev_per_atom": 0,
  "e_form_raw_ev_per_fu": 3.402,
  "lattice_angstrom": [[-2.331, -2.421, -3.625], [4.239, -0.299, -2.526], [0.908, -3.838, 1.979]],
  "species": ["Cl", "Cl", "Os", "Be", "S"],
  "frac_coords": [[0.500, 0.000, 0.000], [0.000, 0.500, 0.000], [0.000, 0.000, 0.000], [0.500, 0.500, 0.500], [0.000, 0.000, 0.500]]
}